[1]
Sc6P3Se | PBE | relaxed

## Properties
Raw formation energy = -1.21 eV/atom

Cell: 3.813 10.398 10.755 Å, 109.10 90.00 90.00°
Positions (direct):
Sc1 0.750 0.452 0.581
Sc2 0.250 0.548 0.419
Sc3 0.750 0.925 0.097
Sc4 0.250 0.075 0.903
Sc5 0.750 0.383 0.024
Sc6 0.250 0.617 0.976
Sc7 0.750 0.710 0.276
Sc8 0.250 0.290 0.724
Sc9 0.750 0.104 0.450
Sc10 0.250 0.896 0.550
Sc11 0.750 0.741 0.771
Sc12 0.250 0.259 0.229
P1 0.750 0.480 0.824
P2 0.250 0.520 0.176
P3 0.750 0.710 0.520
P4 0.250 0.290 0.480
P5 0.750 0.159 0.073
P6 0.250 0.841 0.927
Se1 0.750 0.084 0.702
Se2 0.250 0.916 0.298

=====

[2]
Sc6Si2PSe3 | PBE | relaxed

## Properties
Raw formation energy = -1.34 eV/atom

Cell: 3.835 7.766 8.653 Å, 103.83 102.80 90.00°
Positions (direct):
Sc1 0.338 0.908 0.676
Sc2 0.669 0.576 0.337
Sc3 0.662 0.092 0.324
Sc4 0.005 0.238 0.009
Sc5 0.995 0.762 0.991
Sc6 0.331 0.424 0.663
Si1 0.833 0.666 0.666
Si2 0.167 0.334 0.334
P1 0.500 0.000 0.000
Se1 0.500 0.500 0.000
Se2 0.834 0.165 0.668
Se3 0.166 0.835 0.332

=====

[3]
SrScP2Se8 | PBE | relaxed

## Properties
Raw formation energy = -0.62 eV/atom

Cell: 6.240 6.240 9.285 Å, 90.00 90.00 120.00°
Positions (direct):
Sr1 0.000 0.000 0.000
Sc1 0.000 0.000 0.500
P1 0.667 0.333 0.251
P2 0.333 0.667 0.749
Se1 0.333 0.667 0.987
Se2 0.323 0.344 0.312
Se3 0.656 0.979 0.312
Se4 0.667 0.333 0.013
Se5 0.344 0.021 0.688
Se6 0.677 0.656 0.688
Se7 0.979 0.323 0.688
Se8 0.021 0.677 0.312

=====

[4]
Sc2TaPSe | PBE | relaxed

## Properties
Raw formation energy = 0.23 eV/atom

Cell: 4.948 4.685 4.948 Å, 90.00 90.00 90.00°
Positions (direct):
Sc1 0.000 0.000 0.500
Sc2 0.500 0.000 0.000
P1 0.500 0.500 0.500
Se1 0.000 0.000 0.000
Ta1 0.000 0.500 0.000

=====

[5]
Sc8Te3PSe3 | PBE | relaxed

## Properties
Raw formation energy = -1.28 eV/atom

Cell: 7.877 7.877 8.036 Å, 119.35 90.00 120.00°
Positions (direct):
Sc1 0.264 0.527 0.291
Sc2 0.736 0.473 0.709
Sc3 0.773 0.546 0.291
Sc4 0.227 0.454 0.709
Sc5 0.773 0.017 0.291
Sc6 0.227 0.983 0.709
Sc7 0.244 0.017 0.291
Sc8 0.756 0.983 0.709
Te1 0.000 0.000 0.000
Te2 0.000 0.500 0.000
Te3 0.500 0.500 0.000
P1 0.000 0.000 0.500
Se1 0.500 0.000 0.500
Se2 0.500 0.500 0.500
Se3 0.000 0.500 0.500

=====

[6]
Sc4Te2PSe | PBE | relaxed

## Properties
Raw formation energy = -1.40 eV/atom

Cell: 3.936 7.038 6.850 Å, 71.24 90.00 90.00°
Positions (direct):
Sc1 0.000 0.710 0.747
Sc2 0.000 0.290 0.253
Sc3 0.500 0.706 0.279
Sc4 0.500 0.294 0.721
Te1 0.000 0.000 0.000
Te2 0.500 0.000 0.500
P1 0.000 0.500 0.500
Se1 0.500 0.500 0.000

=====

[7]
Sc6TeP2Se3 | PBE | relaxed

## Properties
Raw formation energy = -1.54 eV/atom

Cell: 3.863 7.835 8.704 Å, 102.87 102.82 90.00°
Positions (direct):
Sc1 0.323 0.881 0.646
Sc2 0.674 0.572 0.348
Sc3 0.677 0.119 0.354
Sc4 0.014 0.278 0.028
Sc5 0.986 0.722 0.972
Sc6 0.326 0.428 0.652
Te1 0.500 0.000 0.000
P1 0.831 0.661 0.662
P2 0.169 0.339 0.338
Se1 0.500 0.500 0.000
Se2 0.839 0.163 0.678
Se3 0.161 0.837 0.322

=====

[8]
Sc8Te4P3Se | PBE | relaxed

## Properties
Raw formation energy = -1.40 eV/atom

Cell: 7.838 8.063 7.838 Å, 119.08 120.00 90.00°
Positions (direct):
Sc1 0.242 0.707 0.965
Sc2 0.242 0.707 0.484
Sc3 0.265 0.295 0.530
Sc4 0.723 0.707 0.965
Sc5 0.277 0.293 0.035
Sc6 0.735 0.705 0.470
Sc7 0.758 0.293 0.516
Sc8 0.758 0.293 0.035
Te1 0.500 0.000 0.000
Te2 0.500 0.000 0.500
Te3 0.000 0.000 0.000
Te4 0.000 0.000 0.500
P1 0.500 0.500 0.000
P2 0.500 0.500 0.500
P3 0.000 0.500 0.500
Se1 0.000 0.500 0.000

=====

[9]
Sc6Te3P2Se | PBE | relaxed

## Properties
Raw formation energy = -1.40 eV/atom

Cell: 3.927 8.061 8.971 Å, 104.79 102.64 90.00°
Positions (direct):
Sc1 0.334 0.878 0.667
Sc2 0.678 0.559 0.355
Sc3 0.666 0.122 0.333
Sc4 0.017 0.242 0.033
Sc5 0.983 0.758 0.967
Sc6 0.322 0.441 0.645
Te1 0.500 0.500 0.000
Te2 0.838 0.165 0.675
Te3 0.162 0.835 0.325
P1 0.832 0.664 0.663
P2 0.168 0.336 0.337
Se1 0.500 0.000 0.000

=====

[10]
ThScPSe | PBE | relaxed

## Properties
Raw formation energy = -1.52 eV/atom

Cell: 3.920 3.921 7.337 Å, 90.00 105.49 120.01°
Positions (direct):
Th1 0.116 0.956 0.087
Sc1 0.492 0.144 0.652
P1 0.288 0.542 0.846
Se1 0.981 0.389 0.385

=====

[11]
Sc6TlP2Se3 | PBE | relaxed

## Properties
Raw formation energy = -1.34 eV/atom

Cell: 3.822 7.927 8.684 Å, 103.01 102.71 90.00°
Positions (direct):
Sc1 0.326 0.891 0.652
Sc2 0.674 0.571 0.348
Sc3 0.674 0.109 0.348
Sc4 0.007 0.270 0.015
Sc5 0.993 0.730 0.985
Sc6 0.326 0.429 0.652
Tl1 0.500 0.000 0.000
P1 0.832 0.663 0.664
P2 0.168 0.337 0.336
Se1 0.500 0.500 0.000
Se2 0.836 0.168 0.672
Se3 0.164 0.832 0.328

=====

[12]
ScTlPSe2 | PBE | relaxed

## Properties
Raw formation energy = 0.51 eV/atom

Cell: 5.295 4.993 5.295 Å, 90.00 90.00 90.00°
Positions (direct):
Sc1 0.500 0.500 0.500
P1 0.000 0.500 0.000
Tl1 0.000 0.000 0.000
Se1 0.000 0.000 0.500
Se2 0.500 0.000 0.000

=====

One value per record, in order, for E_tot: -139.65, -80.73, -54.17, -32.24, -95.11, -51.71, -80.85, -105.33, -78.53, -28.73, -77.76, -18.50 eV per cell.
One value per record, in order, for total moment: 0.00, 0.00, 0.00, 0.00, 0.00, 0.00, 0.00, 0.00, 0.00, 0.00, 0.00, 0.00 μB per atom.